Entry one
This record from Alexandria via LeMat-Bulk describes a relaxed structure of Ac2HRu. The functional is PBE-GGA.

Mass density, g cm⁻³: 8.51
DOS at the Fermi energy, states/eV/cell: 5.731

```
data_Ac2HRu
_cell_length_a 4.1510
_cell_length_b 4.1510
_cell_length_c 21.8219
_cell_angle_alpha 90.00
_cell_angle_beta 90.00
_cell_angle_gamma 120.00
_space_group_name_H-M_alt 'R 3 m'
_space_group_IT_number 160
_space_group_name_Hall 'R 3 -2"'
loop_
_atom_site_label
_atom_site_fract_x
_atom_site_fract_y
_atom_site_fract_z
_atom_site_occupancy
Ac1 0.0000 0.0000 0.0000 1
Ac2 0.0000 0.0000 0.1798 1
H1 0.0000 0.0000 0.4183 1
Ru1 0.0000 0.0000 0.5906 1
```

Entry two
This record from Alexandria via LeMat-Bulk describes a relaxed structure of Ac2HRu. The functional is PBE-GGA.

Mass density, g cm⁻³: 9.78
DOS at the Fermi energy, states/eV/cell: 2.836

```
data_Ac2HRu
_cell_length_a 3.532
_cell_length_b 3.532
_cell_length_c 7.564
_cell_angle_alpha 90.00
_cell_angle_beta 90.00
_cell_angle_gamma 90.00
_space_group_name_H-M_alt 'P 4/m m m'
_space_group_IT_number 123
_space_group_name_Hall '-P 4 2'
loop_
_atom_site_label
_atom_site_fract_x
_atom_site_fract_y
_atom_site_fract_z
_atom_site_occupancy
Ac1 0.000 0.000 0.249 1
H1 0.500 0.500 0.500 1
Ru1 0.500 0.500 0.000 1
```

Energetically preferred structure: entry one | next structure: +63 meV/atom

Entry one
This record from Alexandria via LeMat-Bulk describes a relaxed structure of AcSbH2. The functional is PBE-GGA.

Mass density, g cm⁻³: 7.29
DOS at the Fermi energy, states/eV/cell: 7.300

```
data_AcSbH2
_cell_length_a 4.178
_cell_length_b 13.528
_cell_length_c 5.653
_cell_angle_alpha 90.00
_cell_angle_beta 90.00
_cell_angle_gamma 90.00
_space_group_name_H-M_alt 'C m c m'
_space_group_IT_number 63
_space_group_name_Hall '-C 2c 2'
loop_
_atom_site_label
_atom_site_fract_x
_atom_site_fract_y
_atom_site_fract_z
_atom_site_occupancy
Ac1 0.000 0.168 0.250 1
Sb1 0.000 0.453 0.250 1
H1 0.000 0.283 0.561 1
```

Entry two
This record from Alexandria via LeMat-Bulk describes a relaxed structure of AcSbH2. The functional is PBE-GGA.

Mass density, g cm⁻³: 7.97
DOS at the Fermi energy, states/eV/cell: 4.782

```
data_AcSbH2
_cell_length_a 6.636
_cell_length_b 6.636
_cell_length_c 6.636
_cell_angle_alpha 90.00
_cell_angle_beta 90.00
_cell_angle_gamma 90.00
_space_group_name_H-M_alt 'F m -3 m'
_space_group_IT_number 225
_space_group_name_Hall '-F 4 2 3'
loop_
_atom_site_label
_atom_site_fract_x
_atom_site_fract_y
_atom_site_fract_z
_atom_site_occupancy
Ac1 0.000 0.000 0.000 1
Sb1 0.000 0.000 0.500 1
H1 0.250 0.250 0.250 1
```

Energetically preferred structure: entry one | next structure: +231 meV/atom

Entry one
This record from Alexandria via LeMat-Bulk describes a relaxed structure of AcSbH2. The functional is PBE-GGA.

Mass density, g cm⁻³: 7.10
DOS at the Fermi energy, states/eV/cell: 3.750

```
data_AcSbH2
_cell_length_a 4.0034
_cell_length_b 4.0034
_cell_length_c 17.7380
_cell_angle_alpha 90.00
_cell_angle_beta 90.00
_cell_angle_gamma 120.00
_space_group_name_H-M_alt 'R -3 m'
_space_group_IT_number 166
_space_group_name_Hall '-R 3 2"'
loop_
_atom_site_label
_atom_site_fract_x
_atom_site_fract_y
_atom_site_fract_z
_atom_site_occupancy
Ac1 0.0000 0.0000 0.0000 1
Sb1 0.0000 0.0000 0.5000 1
H1 0.0000 0.0000 0.3013 1
```

Entry two
This record from Alexandria via LeMat-Bulk describes a relaxed structure of AcSbH2. The functional is PBE-GGA.

Mass density, g cm⁻³: 7.57
DOS at the Fermi energy, states/eV/cell: 1.387

```
data_AcSbH2
_cell_length_a 3.324
_cell_length_b 3.324
_cell_length_c 6.961
_cell_angle_alpha 90.00
_cell_angle_beta 90.00
_cell_angle_gamma 90.00
_space_group_name_H-M_alt 'P 4/m m m'
_space_group_IT_number 123
_space_group_name_Hall '-P 4 2'
loop_
_atom_site_label
_atom_site_fract_x
_atom_site_fract_y
_atom_site_fract_z
_atom_site_occupancy
Ac1 0.000 0.000 0.000 1
Sb1 0.000 0.000 0.500 1
H1 0.500 0.500 0.146 1
```

Energetically preferred structure: entry one | next structure: +263 meV/atom

Entry one
This record from Alexandria via LeMat-Bulk describes a relaxed structure of AcHSe2. The functional is PBE-GGA.

Mass density, g cm⁻³: 5.02
DOS at the Fermi energy, states/eV/cell: 0.000

```
data_AcHSe2
_cell_length_a 4.7373
_cell_length_b 4.7373
_cell_length_c 19.7015
_cell_angle_alpha 90.00
_cell_angle_beta 90.00
_cell_angle_gamma 120.00
_space_group_name_H-M_alt 'R -3 m'
_space_group_IT_number 166
_space_group_name_Hall '-R 3 2"'
loop_
_atom_site_label
_atom_site_fract_x
_atom_site_fract_y
_atom_site_fract_z
_atom_site_occupancy
Ac1 0.0000 0.0000 0.0000 1
H1 0.0000 0.0000 0.5000 1
Se1 0.0000 0.0000 0.4107 1
```

Entry two
This record from Alexandria via LeMat-Bulk describes a relaxed structure of AcHSe2. The functional is PBE-GGA.

Mass density, g cm⁻³: 6.40
DOS at the Fermi energy, states/eV/cell: 0.000

```
data_AcHSe2
_cell_length_a 5.773
_cell_length_b 8.414
_cell_length_c 8.318
_cell_angle_alpha 90.00
_cell_angle_beta 97.33
_cell_angle_gamma 90.00
_space_group_name_H-M_alt 'P 1 21/c 1'
_space_group_IT_number 14
loop_
_space_group_symop_operation_xyz
'x,y,z'
'-x,-y,-z'
'-x,y+1/2,-z+1/2'
'x,-y+1/2,z+1/2'
loop_
_atom_site_label
_atom_site_fract_x
_atom_site_fract_y
_atom_site_fract_z
_atom_site_occupancy
Ac1 0.173 0.045 0.298 1
H1 0.390 0.668 0.570 1
Se1 0.142 0.712 0.504 1
Se2 0.322 0.114 0.673 1
```

Energetically preferred structure: entry two | next structure: +64 meV/atom

Entry one
This record from Alexandria via LeMat-Bulk describes a relaxed structure of AcHSe. The functional is PBE-GGA.

Mass density, g cm⁻³: 7.81
DOS at the Fermi energy, states/eV/cell: 0.005

```
data_AcHSe
_cell_length_a 4.371
_cell_length_b 4.371
_cell_length_c 6.833
_cell_angle_alpha 90.00
_cell_angle_beta 90.00
_cell_angle_gamma 90.00
_space_group_name_H-M_alt 'P 4/n m m'
_space_group_IT_number 129
loop_
_space_group_symop_operation_xyz
'x,y,z'
'-x,-y,-z'
'-y+1/2,x,z'
'y+1/2,-x,-z'
'-x+1/2,-y+1/2,z'
'x+1/2,y+1/2,-z'
'y,-x+1/2,z'
'-y,x+1/2,-z'
'x+1/2,-y,-z'
'-x+1/2,y,z'
'-y,-x,-z'
'y,x,z'
'-x,y+1/2,-z'
'x,-y+1/2,z'
'y+1/2,x+1/2,-z'
'-y+1/2,-x+1/2,z'
loop_
_atom_site_label
_atom_site_fract_x
_atom_site_fract_y
_atom_site_fract_z
_atom_site_occupancy
Ac1 0.250 0.250 0.207 1
H1 0.250 0.750 0.000 1
Se1 0.250 0.250 0.675 1
```

Entry two
This record from Alexandria via LeMat-Bulk describes a relaxed structure of AcHSe. The functional is PBE-GGA.

Mass density, g cm⁻³: 6.72
DOS at the Fermi energy, states/eV/cell: 3.178

```
data_AcHSe
_cell_length_a 4.749
_cell_length_b 4.749
_cell_length_c 13.459
_cell_angle_alpha 90.00
_cell_angle_beta 90.00
_cell_angle_gamma 90.00
_space_group_name_H-M_alt 'I 4/m m m'
_space_group_IT_number 139
_space_group_name_Hall '-I 4 2'
loop_
_atom_site_label
_atom_site_fract_x
_atom_site_fract_y
_atom_site_fract_z
_atom_site_occupancy
Ac1 0.000 0.000 0.146 1
H1 0.000 0.500 0.250 1
Se1 0.000 0.500 0.000 1
```

Energetically preferred structure: entry one | next structure: +495 meV/atom

Entry one
This record from Alexandria via LeMat-Bulk describes a relaxed structure of AcHSe. The functional is PBE-GGA.

Mass density, g cm⁻³: 7.63
DOS at the Fermi energy, states/eV/cell: 0.000

```
data_AcHSe
_cell_length_a 4.2567
_cell_length_b 4.2567
_cell_length_c 4.2568
_cell_angle_alpha 90.00
_cell_angle_beta 90.00
_cell_angle_gamma 120.00
_space_group_name_H-M_alt 'P -6 m 2'
_space_group_IT_number 187
_space_group_name_Hall 'P -6 2'
loop_
_atom_site_label
_atom_site_fract_x
_atom_site_fract_y
_atom_site_fract_z
_atom_site_occupancy
Ac1 0.0000 0.0000 0.0000 1
H1 0.3333 0.6667 0.0000 1
Se1 0.6667 0.3333 0.5000 1
```

Entry two
This record from Alexandria via LeMat-Bulk describes a relaxed structure of AcHSe. The functional is PBE-GGA.

Mass density, g cm⁻³: 7.00
DOS at the Fermi energy, states/eV/cell: 1.110

```
data_AcHSe
_cell_length_a 4.144
_cell_length_b 4.144
_cell_length_c 8.486
_cell_angle_alpha 90.00
_cell_angle_beta 90.00
_cell_angle_gamma 90.00
_space_group_name_H-M_alt 'I 4 m m'
_space_group_IT_number 107
_space_group_name_Hall 'I 4 -2'
loop_
_atom_site_label
_atom_site_fract_x
_atom_site_fract_y
_atom_site_fract_z
_atom_site_occupancy
Ac1 0.000 0.000 0.000 1
H1 0.000 0.000 0.290 1
Se1 0.000 0.000 0.634 1
```

Energetically preferred structure: entry one | next structure: +468 meV/atom

Entry one
This record from Alexandria via LeMat-Bulk describes a relaxed structure of AcHSe. The functional is PBE-GGA.

Mass density, g cm⁻³: 6.50
DOS at the Fermi energy, states/eV/cell: 2.357

```
data_AcHSe
_cell_length_a 7.432
_cell_length_b 8.077
_cell_length_c 11.511
_cell_angle_alpha 102.98
_cell_angle_beta 94.27
_cell_angle_gamma 109.25
_space_group_name_H-M_alt 'P 1'
_space_group_IT_number 1
loop_
_space_group_symop_operation_xyz
'x,y,z'
loop_
_atom_site_label
_atom_site_fract_x
_atom_site_fract_y
_atom_site_fract_z
_atom_site_occupancy
Ac1 0.000 0.000 0.000 1
Ac2 0.004 0.497 0.937 1
Ac3 0.032 0.366 0.402 1
Ac4 0.138 0.859 0.320 1
Ac5 0.210 0.084 0.687 1
Ac6 0.531 0.099 0.060 1
Ac7 0.554 0.626 0.326 1
Ac8 0.586 0.693 0.696 1
H1 0.160 0.809 0.093 1
H2 0.229 0.601 0.321 1
H3 0.386 0.523 0.491 1
H4 0.434 0.377 0.678 1
H5 0.741 0.153 0.606 1
H6 0.803 0.180 0.945 1
H7 0.808 0.683 0.883 1
H8 0.911 0.951 0.782 1
Se1 0.277 0.810 0.833 1
Se2 0.309 0.220 0.257 1
Se3 0.323 0.336 0.952 1
Se4 0.481 0.934 0.529 1
Se5 0.771 0.965 0.229 1
Se6 0.842 0.473 0.181 1
Se7 0.900 0.709 0.516 1
Se8 0.938 0.315 0.658 1
```

Entry two
This record from Alexandria via LeMat-Bulk describes a relaxed structure of AcHSe. The functional is PBE-GGA.

Mass density, g cm⁻³: 6.13
DOS at the Fermi energy, states/eV/cell: 0.000

```
data_AcHSe
_cell_length_a 6.929
_cell_length_b 6.929
_cell_length_c 6.929
_cell_angle_alpha 90.00
_cell_angle_beta 90.00
_cell_angle_gamma 90.00
_space_group_name_H-M_alt 'F -4 3 m'
_space_group_IT_number 216
_space_group_name_Hall 'F -4 2 3'
loop_
_atom_site_label
_atom_site_fract_x
_atom_site_fract_y
_atom_site_fract_z
_atom_site_occupancy
Ac1 0.000 0.000 0.000 1
H1 0.250 0.250 0.250 1
Se1 0.250 0.250 0.750 1
```

Energetically preferred structure: entry two | next structure: +41 meV/atom